Model one:
DFT (PBE) results for a geometry-optimized ReRuSe structure.

The density of states at the Fermi level is 1.661 states/eV/f.u. The calculation puts the total magnetization at 0.0 μB per cell.

It has space group P3m1 (No. 156), with a = 2.9101 Å, b = 2.9101 Å, c = 6.2128 Å, α = 90.00°, β = 90.00° and γ = 120.00°. The distinct sites, in fractional coordinates, are Re at (0.0000, 0.0000, 0.0000), Ru at (0.6667, 0.3333, 0.3283) and Se at (0.3333, 0.6667, 0.6715).

---

Model two:
DFT (PBE) results for a geometry-optimized ReRuSe structure.

The density of states at the Fermi level is 3.494 states/eV/f.u. The calculation puts the total magnetization at 0.0 μB per cell.

It has space group F-43m (No. 216), with a = 5.9540 Å, b = 5.9540 Å, c = 5.9540 Å, α = 90.00°, β = 90.00° and γ = 90.00°. The distinct sites, in fractional coordinates, are Re at (0.0000, 0.0000, 0.0000), Ru at (0.2500, 0.2500, 0.7500) and Se at (0.2500, 0.2500, 0.2500).

---

In terms of stability, model one leads; the second structure lies 177 meV per atom higher.